Record 1
This record from Alexandria describes LaSmDy4 after structural relaxation. The functional is PBE.

a = 8.9006 Å, b = 14.8630 Å, c = 6.5002 Å
α = 90.00°, β = 109.44°, γ = 90.00°
Closest atoms and distances in Å follow each position.
Space group C2/c (No. 15)
Symmetry-distinct sites (fractional):
1 La 0.0000 0.0830 0.2500 [4 per cell]  10 Dy 3.55-3.97
2 Sm 0.0000 0.5002 0.2500 [4 per cell]  2 Sm 3.25, 8 Dy 3.39-3.62
3 Dy 0.0916 0.3048 0.5336 [8 per cell]  5 Dy 3.32-3.69, 2 Sm 3.39-3.44
4 Dy 0.2051 0.1340 0.8811 [8 per cell]  3 Dy 3.32-3.48, 2 Sm 3.52-3.62, 2 La 3.55-3.66

Output
M_tot	0.00	μB/cell
ΔH_f (0 K)	0.1426	eV/atom


Record 2
This record from Alexandria describes Pm4Si2SeCl after structural relaxation. The functional is PBE.

a = 5.9274 Å, b = 5.9274 Å, c = 11.7760 Å
α = 90.00°, β = 90.00°, γ = 90.00°
Closest atoms and distances in Å follow each position.
Space group I4/mmm (No. 139)
Symmetry-distinct sites (fractional):
1 Pm 0.0000 0.0000 0.2473 [4 per cell]  1 Se 2.91, 4 Si 2.96, 1 Cl 2.98
2 Pm 0.0000 0.5000 0.0000 [4 per cell]  2 Si 2.94, 2 Cl 2.96, 2 Se 2.96
3 Si 0.0000 0.5000 0.2500 [4 per cell]  6 Pm 2.94-2.96
4 Se 0.0000 0.0000 0.0000 [2 per cell]  6 Pm 2.91-2.96
5 Cl 0.0000 0.0000 0.5000 [2 per cell]  6 Pm 2.96-2.98

Output
raw formation energy	-1252	meV per atom
M_tot	0.00	μB/cell


Record 3
This record from Alexandria describes KFeRe3 after structural relaxation. The functional is PBE.

a = 4.4096 Å, b = 4.4096 Å, c = 4.4096 Å
α = 90.00°, β = 90.00°, γ = 90.00°
Closest atoms and distances in Å follow each position.
Space group Pm-3m (No. 221)
Symmetry-distinct sites (fractional):
1 K 0.0000 0.0000 0.0000 [1 per cell]  6 Re 2.20
2 Fe 0.5000 0.5000 0.5000 [1 per cell]  12 Re 3.12
3 Re 0.0000 0.0000 0.5000 [3 per cell]  2 K 2.20

Output
M_tot	0.00	μB/cell
ΔH_f (0 K)	4.0702	eV/atom